Here is a relaxed Li4CoO3F crystal from the Alexandria database. Energies are from GGA+U.

Summary:
- E_tot: -46.13 eV per formula unit
- SG: Cmc2_1, No. 36
- Size of the total moment: 4.00 μB per formula unit

Cell lengths 5.3646, 5.3646, 6.7020 Å; angles 90.00, 90.00, 93.91 degrees
Closest atoms and distances in Å follow each position.
Atoms (fractional coordinates):
F1 0.6902 0.6902 0.5477  4 Li 1.93-1.94
Co1 0.8805 0.8805 0.1796  3 O 1.79-1.80
Li1 0.3332 0.6600 0.5046  1 F 1.93, 3 O 1.97-2.00
Li2 0.6600 0.3332 0.5046  1 F 1.93, 3 O 1.97-2.00
Li3 0.6064 0.9163 0.7601  1 F 1.94, 3 O 2.00-2.03
Li4 0.9163 0.6064 0.7601  1 F 1.94, 3 O 2.00-2.03
O1 0.8248 0.2324 0.7518  1 Co 1.80, 3 Li 1.97-2.00
O2 0.7085 0.7085 0.9896  1 Co 1.79, 4 Li 1.98-2.00
Li5 0.6668 0.3400 0.0046  1 F 1.93, 3 O 1.97-2.00
Li6 0.3400 0.6668 0.0046  1 F 1.93, 3 O 1.97-2.00
O3 0.2324 0.8248 0.7518  1 Co 1.80, 3 Li 1.97-2.00
O4 0.7676 0.1752 0.2518  1 Co 1.80, 3 Li 1.97-2.00
F2 0.3098 0.3098 0.0477  4 Li 1.93-1.94
O5 0.2915 0.2915 0.4896  1 Co 1.79, 4 Li 1.98-2.00
Co2 0.1195 0.1195 0.6796  3 O 1.79-1.80
Li7 0.3936 0.0837 0.2601  1 F 1.94, 3 O 2.00-2.03
Li8 0.0837 0.3936 0.2601  1 F 1.94, 3 O 2.00-2.03
O6 0.1752 0.7676 0.2518  1 Co 1.80, 3 Li 1.97-2.00